[1]
Below is a geometry-optimized LiAgTePdSe2 structure, with properties calculated at the GGA-PBE level.

Properties
calculated total energy	-3.639	eV/atom

a b c (Å): 6.9907 6.9907 10.7503
angles (deg): 90.00 90.00 149.77
Last column: nearest neighbours and their distance in Å.
Fractional positions:
Te1 0.9404 0.0596 0.7500  2 Pd 2.81, 2 Li 2.84, 2 Ag 3.06
Te2 0.0596 0.9404 0.2500  2 Pd 2.81, 2 Li 2.84, 2 Ag 3.06
Se1 0.6326 0.3674 0.9857  1 Ag 2.54, 2 Pd 2.56
Se2 0.6326 0.3674 0.5143  1 Ag 2.54, 2 Pd 2.56
Se3 0.3674 0.6326 0.4857  1 Ag 2.54, 2 Pd 2.56
Se4 0.3674 0.6326 0.0143  1 Ag 2.54, 2 Pd 2.56
Li1 0.2786 0.7214 0.7500  2 Ag 2.78, 2 Te 2.84, 2 Se 3.08
Li2 0.7214 0.2786 0.2500  2 Ag 2.78, 2 Te 2.84, 2 Se 3.08
Ag1 0.3772 0.6228 0.2500  2 Se 2.54, 2 Li 2.78
Ag2 0.6228 0.3772 0.7500  2 Se 2.54, 2 Li 2.78
Pd1 0.0000 0.0000 0.0000  4 Se 2.56, 2 Te 2.81
Pd2 0.0000 0.0000 0.5000  4 Se 2.56, 2 Te 2.81

=====

[2]
Below is a geometry-optimized Li4SiAgPd2 structure, with properties calculated at the GGA-PBE level.

Properties
calculated total energy	-3.733	eV/atom

a b c (Å): 4.3121 4.3121 6.0906
angles (deg): 90.00 90.00 90.00
Last column: nearest neighbours and their distance in Å.
Fractional positions:
Ag1 0.0000 0.0000 0.0000  4 Li 2.64, 4 Pd 2.82
Li1 0.0000 0.0000 0.5000  4 Pd 2.48, 4 Li 2.64
Li2 0.5000 0.0000 0.2509  2 Si 2.64, 4 Li 2.64, 2 Ag 2.64, 1 Pd 2.75
Li3 0.5000 0.5000 0.0000  4 Li 2.64, 4 Pd 2.82
Li4 0.0000 0.5000 0.7491  4 Li 2.64, 2 Si 2.64, 2 Ag 2.64, 1 Pd 2.75
Pd1 0.0000 0.5000 0.2974  2 Si 2.48, 3 Li 2.48-2.75
Pd2 0.5000 0.0000 0.7026  2 Si 2.48, 3 Li 2.48-2.75
Si1 0.5000 0.5000 0.5000  4 Pd 2.48, 4 Li 2.64

=====

[3]
Below is a geometry-optimized LiSiAgPd structure, with properties calculated at the GGA-PBE level.

Properties
polymorph energy (0 for the lowest one)	115	meV per atom

a b c (Å): 4.3748 4.3748 4.3748
angles (deg): 60.00 60.00 60.00
Last column: nearest neighbours and their distance in Å.
Fractional positions:
Si1 0.0000 0.0000 0.0000  4 Li 2.68, 4 Pd 2.68
Ag1 0.5000 0.5000 0.5000  4 Li 2.68, 4 Pd 2.68
Pd1 0.2500 0.2500 0.2500  4 Ag 2.68, 4 Si 2.68
Li1 0.7500 0.7500 0.7500  4 Ag 2.68, 4 Si 2.68

=====

[4]
Below is a geometry-optimized LiSiAgPd structure, with properties calculated at the GGA-PBE level.

Properties
polymorph energy (0 for the lowest one)	0	meV per atom

a b c (Å): 4.3109 4.3109 4.3109
angles (deg): 60.00 60.00 60.00
Last column: nearest neighbours and their distance in Å.
Fractional positions:
Pd1 0.0000 0.0000 0.0000  4 Li 2.64, 4 Si 2.64
Si1 0.2500 0.2500 0.2500  4 Ag 2.64, 4 Pd 2.64
Li1 0.7500 0.7500 0.7500  4 Pd 2.64, 4 Ag 2.64
Ag1 0.5000 0.5000 0.5000  4 Si 2.64, 4 Li 2.64